1.
Below is crystalline HgPb3Se at its relaxed geometry, with properties calculated at the GGA-PBE level.

Geometry as CIF:
```
data_HgPb3Se
_cell_length_a 5.738
_cell_length_b 5.738
_cell_length_c 5.738
_cell_angle_alpha 90.00
_cell_angle_beta 90.00
_cell_angle_gamma 90.00
_symmetry_space_group_name_H-M 'P m -3 m'
_symmetry_Int_Tables_number 221
_symmetry_space_group_name_Hall '-P 4 2 3'
loop_
_atom_site_label
_atom_site_fract_x
_atom_site_fract_y
_atom_site_fract_z
_atom_site_occupancy
Hg1 0.000 0.000 0.000 1
Pb1 0.000 0.500 0.500 1
Se1 0.500 0.500 0.500 1
```

Output
Total energy in eV per atom: -2.746
Total magnetization in μB/f.u.: 0.0
Energy above the lowest structure with this stoichiometry in eV/f.u.: 0.000
Formation energy from raw total energies in eV per atom: 0.236
Crystal system: cubic


2.
Below is crystalline SrScAu at its relaxed geometry, with properties calculated at the GGA-PBE level.

Geometry as CIF:
```
data_SrScAu
_cell_length_a 7.071
_cell_length_b 7.071
_cell_length_c 7.071
_cell_angle_alpha 90.00
_cell_angle_beta 90.00
_cell_angle_gamma 90.00
_symmetry_space_group_name_H-M 'F -4 3 m'
_symmetry_Int_Tables_number 216
_symmetry_space_group_name_Hall 'F -4 2 3'
loop_
_atom_site_label
_atom_site_fract_x
_atom_site_fract_y
_atom_site_fract_z
_atom_site_occupancy
Sr1 0.000 0.000 0.000 1
Sc1 0.250 0.250 0.250 1
Au1 0.250 0.250 0.750 1
```

Output
Total energy in eV per atom: -3.291
Total magnetization in μB/f.u.: 0.0
Energy above the lowest structure with this stoichiometry in eV/f.u.: 3.058
Crystal system: cubic